*P*
DFT (PBE) results for a relaxed structure of BeCl.

```
data_BeCl
_cell_length_a 5.5467
_cell_length_b 5.5467
_cell_length_c 5.5467
_cell_angle_alpha 90.00
_cell_angle_beta 90.00
_cell_angle_gamma 90.00
_space_group_name_H-M_alt 'P 21 3'
_space_group_IT_number 198
_space_group_name_Hall 'P 2ac 2ab 3'
loop_
_atom_site_label
_atom_site_fract_x
_atom_site_fract_y
_atom_site_fract_z
_atom_site_occupancy
Be1 0.2237 0.2763 0.7237 1
Cl1 0.0717 0.9283 0.4283 1
```

## Properties
- calculated volume (A^3/atom) = 21.33

*Q*
DFT (PBE) results for a relaxed structure of BeCl.

```
data_BeCl
_cell_length_a 10.5541
_cell_length_b 3.2154
_cell_length_c 8.3107
_cell_angle_alpha 90.00
_cell_angle_beta 109.05
_cell_angle_gamma 90.00
_space_group_name_H-M_alt 'C 1 m 1'
_space_group_IT_number 8
loop_
_space_group_symop_operation_xyz
'x,y,z'
'x,-y,z'
'x+1/2,y+1/2,z'
'x+1/2,-y+1/2,z'
loop_
_atom_site_label
_atom_site_fract_x
_atom_site_fract_y
_atom_site_fract_z
_atom_site_occupancy
Be1 0.0000 0.0000 0.0000 1
Be2 0.0366 0.0000 0.7665 1
Be3 0.4005 0.0000 0.7510 1
Cl1 0.0311 0.5000 0.1620 1
Cl2 0.2376 0.0000 0.8265 1
Cl3 0.3849 0.5000 0.5437 1
```

## Properties
- calculated volume (A^3/atom) = 22.21

*R*
DFT (PBE) results for a relaxed structure of BeCl.

```
data_BeCl
_cell_length_a 3.0822
_cell_length_b 4.4196
_cell_length_c 6.1778
_cell_angle_alpha 90.00
_cell_angle_beta 95.84
_cell_angle_gamma 90.00
_space_group_name_H-M_alt 'P 1 21/m 1'
_space_group_IT_number 11
loop_
_space_group_symop_operation_xyz
'x,y,z'
'-x,-y,-z'
'-x,y+1/2,-z'
'x,-y+1/2,z'
loop_
_atom_site_label
_atom_site_fract_x
_atom_site_fract_y
_atom_site_fract_z
_atom_site_occupancy
Be1 0.0273 0.2500 0.1291 1
Cl1 0.0415 0.7500 0.2026 1
```

## Properties
- calculated volume (A^3/atom) = 20.93

*S*
DFT (PBE) results for a relaxed structure of BeCl.

```
data_BeCl
_cell_length_a 10.2609
_cell_length_b 3.0907
_cell_length_c 4.8074
_cell_angle_alpha 90.00
_cell_angle_beta 106.38
_cell_angle_gamma 90.00
_space_group_name_H-M_alt 'C 1 m 1'
_space_group_IT_number 8
loop_
_space_group_symop_operation_xyz
'x,y,z'
'x,-y,z'
'x+1/2,y+1/2,z'
'x+1/2,-y+1/2,z'
loop_
_atom_site_label
_atom_site_fract_x
_atom_site_fract_y
_atom_site_fract_z
_atom_site_occupancy
Be1 0.0000 0.0000 0.0000 1
Be2 0.1176 0.5000 0.7654 1
Cl1 0.1210 0.0000 0.4575 1
Cl2 0.3120 0.5000 0.0423 1
```

## Properties
- calculated volume (A^3/atom) = 18.28

Stability ranking, top entry: *Q*; the second entry is 85 meV/atom less favorable.

*P*
DFT (PBE) results for a relaxed structure of Be3Cl.

```
data_Be3Cl
_cell_length_a 5.3997
_cell_length_b 14.8473
_cell_length_c 3.0428
_cell_angle_alpha 90.00
_cell_angle_beta 90.00
_cell_angle_gamma 90.00
_space_group_name_H-M_alt 'C m c m'
_space_group_IT_number 63
_space_group_name_Hall '-C 2c 2'
loop_
_atom_site_label
_atom_site_fract_x
_atom_site_fract_y
_atom_site_fract_z
_atom_site_occupancy
Be1 0.0000 0.0405 0.2500 1
Be2 0.1982 0.4447 0.2500 1
Cl1 0.0000 0.3382 0.7500 1
```

## Properties
- calculated volume (A^3/atom) = 15.25

*Q*
DFT (PBE) results for a relaxed structure of Be3Cl.

```
data_Be3Cl
_cell_length_a 4.4456
_cell_length_b 4.4456
_cell_length_c 2.5748
_cell_angle_alpha 90.00
_cell_angle_beta 90.00
_cell_angle_gamma 90.00
_space_group_name_H-M_alt 'P 4/m m m'
_space_group_IT_number 123
_space_group_name_Hall '-P 4 2'
loop_
_atom_site_label
_atom_site_fract_x
_atom_site_fract_y
_atom_site_fract_z
_atom_site_occupancy
Be1 0.0000 0.0000 0.0000 1
Be2 0.0000 0.5000 0.5000 1
Cl1 0.5000 0.5000 0.0000 1
```

## Properties
- calculated volume (A^3/atom) = 12.72

Stability ranking, top entry: *P*; the second entry is 559 meV/atom less favorable.

*P*
DFT (PBE) results for a relaxed structure of BeCl4.

```
data_BeCl4
_cell_length_a 5.9128
_cell_length_b 5.9128
_cell_length_c 5.9128
_cell_angle_alpha 90.00
_cell_angle_beta 90.00
_cell_angle_gamma 90.00
_space_group_name_H-M_alt 'I m -3 m'
_space_group_IT_number 229
_space_group_name_Hall '-I 4 2 3'
loop_
_atom_site_label
_atom_site_fract_x
_atom_site_fract_y
_atom_site_fract_z
_atom_site_occupancy
Be1 0.0000 0.0000 0.0000 1
Cl1 0.2500 0.2500 0.2500 1
```

## Properties
- calculated volume (A^3/atom) = 20.67

*Q*
DFT (PBE) results for a relaxed structure of BeCl4.

```
data_BeCl4
_cell_length_a 10.2863
_cell_length_b 10.2863
_cell_length_c 2.6258
_cell_angle_alpha 90.00
_cell_angle_beta 90.00
_cell_angle_gamma 90.00
_space_group_name_H-M_alt 'I 4/m'
_space_group_IT_number 87
_space_group_name_Hall '-I 4'
loop_
_atom_site_label
_atom_site_fract_x
_atom_site_fract_y
_atom_site_fract_z
_atom_site_occupancy
Be1 0.0000 0.0000 0.0000 1
Cl1 0.0306 0.2046 0.5000 1
```

## Properties
- calculated volume (A^3/atom) = 27.78

*R*
DFT (PBE) results for a relaxed structure of BeCl4.

```
data_BeCl4
_cell_length_a 4.5766
_cell_length_b 4.5766
_cell_length_c 4.5766
_cell_angle_alpha 90.00
_cell_angle_beta 90.00
_cell_angle_gamma 90.00
_space_group_name_H-M_alt 'P m -3 m'
_space_group_IT_number 221
_space_group_name_Hall '-P 4 2 3'
loop_
_atom_site_label
_atom_site_fract_x
_atom_site_fract_y
_atom_site_fract_z
_atom_site_occupancy
Be1 0.0000 0.0000 0.0000 1
Cl1 0.0000 0.0000 0.5000 1
Cl2 0.5000 0.5000 0.5000 1
```

## Properties
- calculated volume (A^3/atom) = 19.17

Stability ranking, top entry: *R*; the second entry is 107 meV/atom less favorable.

*P*
DFT (PBE) results for a relaxed structure of BeCoCl2.

```
data_BeCoCl2
_cell_length_a 3.2934
_cell_length_b 3.2934
_cell_length_c 12.4981
_cell_angle_alpha 90.00
_cell_angle_beta 90.00
_cell_angle_gamma 90.00
_space_group_name_H-M_alt 'I -4 m 2'
_space_group_IT_number 119
_space_group_name_Hall 'I -4 -2'
loop_
_atom_site_label
_atom_site_fract_x
_atom_site_fract_y
_atom_site_fract_z
_atom_site_occupancy
Be1 0.0000 0.0000 0.0000 1
Co1 0.0000 0.5000 0.2500 1
Cl1 0.0000 0.0000 0.5000 1
Cl2 0.0000 0.5000 0.7500 1
```

## Properties
- calculated volume (A^3/atom) = 16.94

*Q*
DFT (PBE) results for a relaxed structure of BeCoCl2.

```
data_BeCoCl2
_cell_length_a 3.1315
_cell_length_b 3.1315
_cell_length_c 7.1722
_cell_angle_alpha 90.00
_cell_angle_beta 90.00
_cell_angle_gamma 90.00
_space_group_name_H-M_alt 'P 4 m m'
_space_group_IT_number 99
loop_
_space_group_symop_operation_xyz
'x,y,z'
'-y,x,z'
'-x,-y,z'
'y,-x,z'
'-x,y,z'
'y,x,z'
'x,-y,z'
'-y,-x,z'
loop_
_atom_site_label
_atom_site_fract_x
_atom_site_fract_y
_atom_site_fract_z
_atom_site_occupancy
Be1 0.0000 0.0000 0.0000 1
Co1 0.5000 0.5000 0.8986 1
Cl1 0.0000 0.0000 0.7016 1
Cl2 0.5000 0.5000 0.2001 1
```

## Properties
- calculated volume (A^3/atom) = 17.58

*R*
DFT (PBE) results for a relaxed structure of BeCoCl2.

```
data_BeCoCl2
_cell_length_a 6.3069
_cell_length_b 6.5011
_cell_length_c 4.5246
_cell_angle_alpha 90.00
_cell_angle_beta 134.05
_cell_angle_gamma 90.00
_space_group_name_H-M_alt 'C 1 2/m 1'
_space_group_IT_number 12
loop_
_space_group_symop_operation_xyz
'x,y,z'
'-x,-y,-z'
'-x,y,-z'
'x,-y,z'
'x+1/2,y+1/2,z'
'-x+1/2,-y+1/2,-z'
'-x+1/2,y+1/2,-z'
'x+1/2,-y+1/2,z'
loop_
_atom_site_label
_atom_site_fract_x
_atom_site_fract_y
_atom_site_fract_z
_atom_site_occupancy
Be1 0.0000 0.0000 0.0000 1
Co1 0.0000 0.5000 0.0000 1
Cl1 0.2500 0.2500 0.5000 1
```

## Properties
- calculated volume (A^3/atom) = 16.67

Stability ranking, top entry: *Q*; the second entry is 358 meV/atom less favorable.